# KVZn2S

KVZn2S after structural relaxation (PBE, Alexandria).

It has space group P4/mmm (No. 123), with a = 5.4562 Å, b = 5.4562 Å, c = 6.2519 Å, α = 90.00°, β = 90.00° and γ = 90.00°. Symmetry generates all atoms from K at (0.0000, 0.0000, 0.0000), V at (0.0000, 0.0000, 0.5000), Zn at (0.0000, 0.5000, 0.0000) and S at (0.5000, 0.5000, 0.5000).

As for the uncorrected formation energy: 7.70 eV per formula unit. Its density of states at the Fermi level is 0.20 states/eV per atom. Its crystal system is tetragonal.